Entry 1:
This record from Alexandria describes Pr6GeS2Cl3 after structural relaxation. The functional is PBE-GGA.

The value obtained for the uncorrected energy is -5.501 eV/atom. The calculation puts the uncorrected formation energy at -18.9 eV per formula unit. The calculation puts the volume at 630.59 Å³ per cell.

The space group is C2/m (No. 12) and the conventional cell measures 18.448, 4.243 and 8.348 Å, with angles of 90.00, 105.21 and 90.00 degrees. Symmetry generates all atoms from Pr at (0.011, 0.000, 0.242), Pr at (0.163, 0.500, 0.106), Pr at (0.174, 0.500, 0.559), Ge at (0.000, 0.500, 0.000), S at (0.169, 0.000, 0.334), Cl at (0.000, 0.500, 0.500) and Cl at (0.162, 0.000, 0.828).

Entry 2:
This record from Alexandria describes KHgAu after structural relaxation. The functional is PBE-GGA.

The value obtained for the uncorrected energy is -1.828 eV/atom. For the energy above the most stable polymorph in this dataset, the calculation gives 28 meV per atom. The calculation puts the volume at 376.02 Å³ per cell.

The space group is P1 (No. 1) and the conventional cell measures 6.622, 6.654 and 9.699 Å, with angles of 103.33, 106.53 and 104.13 degrees. Symmetry generates all atoms from K at (0.000, 0.000, 0.000), K at (0.001, 0.406, 0.427), K at (0.506, 0.977, 0.480), K at (0.536, 0.456, 0.994), Hg at (0.395, 0.861, 0.822), Hg at (0.466, 0.418, 0.325), Hg at (0.911, 0.852, 0.325), Hg at (0.959, 0.427, 0.809), Au at (0.114, 0.571, 0.144), Au at (0.171, 0.135, 0.655), Au at (0.511, 0.475, 0.653) and Au at (0.866, 0.763, 0.636).

Entry 3:
This record from Alexandria describes SrRuPb after structural relaxation. The functional is PBE-GGA.

The value obtained for the uncorrected energy is -4.782 eV/atom. The calculation puts the volume at 149.59 Å³ per cell.

The space group is I4mm (No. 107) and the conventional cell measures 3.563, 3.563 and 11.785 Å, with angles of 90.00, 90.00 and 90.00 degrees. Symmetry generates all atoms from Sr at (0.000, 0.000, 0.000), Ru at (0.000, 0.000, 0.323) and Pb at (0.000, 0.000, 0.715).

Entry 4:
This record from Alexandria describes SbRhF2 after structural relaxation. The functional is PBE-GGA.

The value obtained for the uncorrected energy is -4.812 eV/atom. For the energy above the most stable polymorph in this dataset, the calculation gives 0 meV per atom. The calculation puts the uncorrected formation energy at -4.0 eV per formula unit. The calculation puts the volume at 233.81 Å³ per cell.

The space group is I-42d (No. 122) and the conventional cell measures 3.795, 3.795 and 16.237 Å, with angles of 90.00, 90.00 and 90.00 degrees. Symmetry generates all atoms from Sb at (0.000, 0.000, 0.000), Rh at (0.000, 0.000, 0.500) and F at (0.244, 0.250, 0.125).

Entry 5:
This record from Alexandria describes Cs2Hg3I8 after structural relaxation. The functional is PBE-GGA.

The value obtained for the uncorrected energy is -1.843 eV/atom. For the energy above the most stable polymorph in this dataset, the calculation gives 21 meV per atom. The calculation puts the uncorrected formation energy at -8.9 eV per formula unit. The calculation puts the volume at 1459.89 Å³ per cell.

The space group is C2/m (No. 12) and the conventional cell measures 17.442, 12.056 and 7.553 Å, with angles of 90.00, 113.19 and 90.00 degrees. Symmetry generates all atoms from Cs at (0.223, 0.000, 0.058), Hg at (0.000, 0.175, 0.500), Hg at (0.000, 0.500, 0.000), I at (0.096, 0.274, 0.847), I at (0.107, 0.000, 0.428) and I at (0.149, 0.500, 0.292).

Entry 6:
This record from Alexandria describes Sr2TbMg12Cd3 after structural relaxation. The functional is PBE-GGA.

The value obtained for the uncorrected energy is -1.466 eV/atom. The calculation puts the volume at 1683.43 Å³ per cell.

The space group is R-3m (No. 166, hexagonal axes) and the conventional cell measures 8.8297, 8.8297 and 24.9331 Å, with angles of 90.00, 90.00 and 120.00 degrees. Symmetry generates all atoms from Sr at (0.0000, 0.0000, 0.0811), Tb at (0.0000, 0.0000, 0.5000), Mg at (0.0842, 0.5421, 0.8667), Mg at (0.0959, 0.5480, 0.2668) and Cd at (0.0000, 0.5000, 0.0000).

Entry 7:
This record from Alexandria describes LiZn3 after structural relaxation. The functional is PBE-GGA.

The value obtained for the uncorrected energy is -1.484 eV/atom. The calculation puts the volume at 182.27 Å³ per cell.

The space group is R-3m (No. 166, hexagonal axes) and the conventional cell measures 2.6614, 2.6614 and 29.7134 Å, with angles of 90.00, 90.00 and 120.00 degrees. Symmetry generates all atoms from Li at (0.0000, 0.0000, 0.0000), Zn at (0.0000, 0.0000, 0.2559) and Zn at (0.0000, 0.0000, 0.5000).

Entry 8:
This record from Alexandria describes LiPr3Nd3Se8 after structural relaxation. The functional is PBE-GGA.

The value obtained for the uncorrected energy is -5.708 eV/atom. The calculation puts the uncorrected formation energy at -27.2 eV per formula unit. The calculation puts the volume at 1271.99 Å³ per cell.

The space group is R-3m (No. 166, hexagonal axes) and the conventional cell measures 8.4280, 8.4280 and 20.6776 Å, with angles of 90.00, 90.00 and 120.00 degrees. Symmetry generates all atoms from Li at (0.0000, 0.0000, 0.0000), Pr at (0.0000, 0.5000, 0.5000), Nd at (0.0000, 0.5000, 0.0000), Se at (0.0000, 0.0000, 0.2509) and Se at (0.0070, 0.5035, 0.7474).

Entry 9:
This record from Alexandria describes TcRhPb2 after structural relaxation. The functional is PBE-GGA.

The value obtained for the uncorrected energy is -5.886 eV/atom. For the energy above the most stable polymorph in this dataset, the calculation gives 135 meV per atom. The calculation puts the volume at 304.99 Å³ per cell.

The space group is Fm-3m (No. 225) and the conventional cell measures 6.731, 6.731 and 6.731 Å, with angles of 90.00, 90.00 and 90.00 degrees. Symmetry generates all atoms from Tc at (0.000, 0.000, 0.000), Rh at (0.000, 0.000, 0.500) and Pb at (0.250, 0.250, 0.250).

Entry 10:
This record from Alexandria describes SiNiAs after structural relaxation. The functional is PBE-GGA.

The value obtained for the uncorrected energy is -5.520 eV/atom. The calculation puts the uncorrected formation energy at -0.7 eV per formula unit. The calculation puts the volume at 89.99 Å³ per cell.

The space group is Pmn2_1 (No. 31) and the conventional cell measures 2.910, 5.269 and 5.869 Å, with angles of 90.00, 90.00 and 90.00 degrees. Symmetry generates all atoms from Si at (0.000, 0.063, 0.000), Ni at (0.000, 0.244, 0.639) and As at (0.000, 0.419, 0.265).

Entry 11:
This record from Alexandria describes GdHoCd2 after structural relaxation. The functional is PBE-GGA.

The value obtained for the uncorrected energy is -5.456 eV/atom. For the energy above the most stable polymorph in this dataset, the calculation gives 0 meV per atom. The calculation puts the volume at 421.45 Å³ per cell.

The space group is Fm-3m (No. 225) and the conventional cell measures 7.497, 7.497 and 7.497 Å, with angles of 90.00, 90.00 and 90.00 degrees. Symmetry generates all atoms from Gd at (0.000, 0.000, 0.000), Ho at (0.000, 0.000, 0.500) and Cd at (0.250, 0.250, 0.250).

Entry 12:
This record from Alexandria describes Sr2CeThP4 after structural relaxation. The functional is PBE-GGA.

The value obtained for the uncorrected energy is -6.138 eV/atom. The calculation puts the volume at 217.91 Å³ per cell.

The space group is P2/m (No. 10) and the conventional cell measures 7.351, 4.244 and 7.402 Å, with angles of 90.00, 109.35 and 90.00 degrees. Symmetry generates all atoms from Sr at (0.000, 0.000, 0.000), Sr at (0.500, 0.500, 0.000), Ce at (0.000, 0.500, 0.500), Th at (0.500, 0.000, 0.500), P at (0.237, 0.000, 0.719) and P at (0.256, 0.500, 0.277).

Entry 13:
This record from Alexandria describes Sr2TlAs3Pt4 after structural relaxation. The functional is PBE-GGA.

The value obtained for the uncorrected energy is -5.041 eV/atom. The calculation puts the volume at 215.51 Å³ per cell.

The space group is P-4m2 (No. 115) and the conventional cell measures 4.516, 4.516 and 10.568 Å, with angles of 90.00, 90.00 and 90.00 degrees. Symmetry generates all atoms from Sr at (0.000, 0.500, 0.240), Tl at (0.000, 0.000, 0.500), As at (0.000, 0.500, 0.881), As at (0.500, 0.500, 0.500), Pt at (0.000, 0.000, 0.000), Pt at (0.000, 0.500, 0.649) and Pt at (0.500, 0.500, 0.000).

Entry 14:
This record from Alexandria describes Sr2Ga3Cu4Sn after structural relaxation. The functional is PBE-GGA.

The value obtained for the uncorrected energy is -3.583 eV/atom. The calculation puts the volume at 201.18 Å³ per cell.

The space group is P-4m2 (No. 115) and the conventional cell measures 4.361, 4.361 and 10.579 Å, with angles of 90.00, 90.00 and 90.00 degrees. Symmetry generates all atoms from Sr at (0.000, 0.500, 0.239), Ga at (0.000, 0.500, 0.884), Ga at (0.500, 0.500, 0.500), Cu at (0.000, 0.000, 0.000), Cu at (0.000, 0.500, 0.644), Cu at (0.500, 0.500, 0.000) and Sn at (0.000, 0.000, 0.500).

Entry 15:
This record from Alexandria describes TbPr2SmY6 after structural relaxation. The functional is PBE-GGA.

The value obtained for the uncorrected energy is -5.657 eV/atom. The calculation puts the volume at 1339.96 Å³ per cell.

The space group is C2/c (No. 15) and the conventional cell measures 9.129, 15.089 and 9.880 Å, with angles of 90.00, 100.06 and 90.00 degrees. Symmetry generates all atoms from Tb at (0.000, 0.094, 0.250), Pr at (0.241, 0.451, 0.044), Sm at (0.000, 0.483, 0.750), Y at (0.069, 0.310, 0.443), Y at (0.098, 0.105, 0.618) and Y at (0.202, 0.277, 0.814).